(1)
DFT (PBE) results for crystalline CsMnNi at its relaxed geometry.

Summary:
total magnetic moment	0.000	μB per atom
DFT total energy	-4.6777	eV per atom
DFT formation energy	590	meV per atom

a = 3.5092 Å, b = 3.8269 Å, c = 12.3436 Å
α = 97.96°, β = 96.62°, γ = 90.00°
Positions (direct):
Cs 0.0000 0.0000 0.0000
Cs 0.2569 0.7289 0.3944
Mn 0.4217 0.8886 0.7464
Mn 0.8822 0.8447 0.6480
Ni 0.3779 0.3359 0.6283
Ni 0.9336 0.3974 0.7663

(2)
DFT (PBE) results for crystalline BaSr6Li at its relaxed geometry.

Summary:
total magnetic moment	0.000	μB per atom
excess energy over the best structure of this formula in the dataset	56	meV/atom
DFT total energy	-1.6546	eV per atom
DFT formation energy	86	meV per atom

a = 7.5120 Å, b = 7.5138 Å, c = 7.5143 Å
α = 89.88°, β = 89.77°, γ = 89.94°
Positions (direct):
Ba 0.0000 0.0000 0.0000
Sr 0.0007 0.5006 0.7464
Sr 0.2536 0.0006 0.4991
Sr 0.4997 0.2536 0.9985
Sr 0.5003 0.7464 0.0015
Sr 0.7464 0.9994 0.5009
Sr 0.9993 0.4994 0.2536
Li 0.5000 0.5000 0.5000

(3)
DFT (PBE) results for crystalline RbNaPuF6 at its relaxed geometry.

Summary:
total magnetic moment	0.444	μB per atom
formation energy without anion corrections	-29.0	eV/f.u.
DFT total energy	-6.3190	eV per atom

a = 6.1044 Å, b = 6.1044 Å, c = 11.6817 Å
α = 90.00°, β = 90.00°, γ = 120.00°
Positions (direct):
Rb 0.0000 0.0000 0.0000
Rb 0.0000 0.0000 0.5000
Na 0.3333 0.6667 0.2500
Na 0.6667 0.3333 0.7500
Pu 0.3333 0.6667 0.7500
Pu 0.6667 0.3333 0.2500
F 0.0246 0.3831 0.6491
F 0.0246 0.6415 0.8509
F 0.3585 0.3831 0.8509
F 0.3585 0.9754 0.6491
F 0.3831 0.0246 0.1491
F 0.3831 0.3585 0.3509
F 0.6169 0.6415 0.6491
F 0.6169 0.9754 0.8509
F 0.6415 0.0246 0.3509
F 0.6415 0.6169 0.1491
F 0.9754 0.3585 0.1491
F 0.9754 0.6169 0.3509

(4)
DFT (PBE) results for crystalline OsPbAu2 at its relaxed geometry.

Summary:
total magnetic moment	0.000	μB per atom
DFT total energy	-4.6229	eV per atom
DFT formation energy	750	meV per atom

a = 10.6348 Å, b = 10.6348 Å, c = 10.6348 Å
α = 158.55°, β = 158.55°, γ = 30.51°
Positions (direct):
Os 0.0000 0.0000 0.0000
Os 0.7500 0.2500 0.5000
Pb 0.2500 0.7500 0.5000
Pb 0.5000 0.5000 0.0000
Au 0.1116 0.6250 0.9866
Au 0.3750 0.3616 0.4866
Au 0.6384 0.1250 0.0134
Au 0.8750 0.8884 0.5134

(5)
DFT (PBE) results for crystalline TiTc2Os at its relaxed geometry.

Summary:
total magnetic moment	0.000	μB per atom
excess energy over the best structure of this formula in the dataset	0	meV/atom
DFT total energy	-10.0409	eV per atom
DFT formation energy	-77	meV per atom

a = 4.3728 Å, b = 4.3728 Å, c = 4.3728 Å
α = 60.00°, β = 60.00°, γ = 60.00°
Positions (direct):
Ti 0.0000 0.0000 0.0000
Tc 0.2500 0.2500 0.2500
Tc 0.7500 0.7500 0.7500
Os 0.5000 0.5000 0.5000

(6)
DFT (PBE) results for crystalline SrAg2Te2 at its relaxed geometry.

Summary:
total magnetic moment	0.000	μB per atom
formation energy without anion corrections	-2.5	eV/f.u.
DFT total energy	-3.2400	eV per atom

a = 8.2064 Å, b = 8.2064 Å, c = 3.9709 Å
α = 90.00°, β = 90.00°, γ = 90.00°
Positions (direct):
Sr 0.0000 0.0000 0.0000
Sr 0.5000 0.5000 0.0000
Ag 0.1177 0.3823 0.0000
Ag 0.3823 0.8823 0.0000
Ag 0.6177 0.1177 0.0000
Ag 0.8823 0.6177 0.0000
Te 0.1918 0.6918 0.5000
Te 0.3082 0.1918 0.5000
Te 0.6918 0.8082 0.5000
Te 0.8082 0.3082 0.5000